(1)
A plane-wave DFT calculation with GGA-PBE was carried out for an optimized crystal structure of NpMnRuRh.

a = 6.468 Å, b = 6.468 Å, c = 6.468 Å
α = 90.00°, β = 90.00°, γ = 90.00°
Space group F-43m (No. 216)
Asymmetric unit:
Np  0.000  0.000  0.000 x4
Mn  0.000  0.000  0.500 x4
Ru  0.250  0.250  0.250 x4
Rh  0.250  0.250  0.750 x4

## Properties
energy of formation = -71.9 meV per atom

---

(2)
A plane-wave DFT calculation with GGA-PBE was carried out for an optimized crystal structure of ReSb3C.

a = 5.144 Å, b = 5.144 Å, c = 5.144 Å
α = 90.00°, β = 90.00°, γ = 90.00°
Space group Pm-3m (No. 221)
Asymmetric unit:
Re  0.000  0.000  0.000 x1
Sb  0.000  0.000  0.500 x3
C  0.500  0.500  0.500 x1

## Properties
offset from the most stable computed form = 0.3738 eV/atom
energy relative to the elements, uncorrected = 9.18 eV/f.u.

---

(3)
A plane-wave DFT calculation with GGA-PBE was carried out for an optimized crystal structure of LaTb3Ho6Er2.

a = 6.149 Å, b = 10.643 Å, c = 11.770 Å
α = 90.00°, β = 99.99°, γ = 90.00°
Space group C2/m (No. 12)
Asymmetric unit:
La  0.000  0.000  0.000 x2
Tb  0.000  0.167  0.500 x4
Tb  0.000  0.500  0.500 x2
Ho  0.248  0.333  0.749 x8
Ho  0.250  0.000  0.748 x4
Er  0.000  0.333  0.000 x4

## Properties
energy of formation = 20.8 meV per atom

---

(4)
A plane-wave DFT calculation with GGA-PBE was carried out for an optimized crystal structure of TaBe3I.

a = 4.707 Å, b = 4.707 Å, c = 4.707 Å
α = 90.00°, β = 90.00°, γ = 90.00°
Space group Pm-3m (No. 221)
Asymmetric unit:
Ta  0.000  0.000  0.000 x1
Be  0.000  0.000  0.500 x3
I  0.500  0.500  0.500 x1

## Properties
offset from the most stable computed form = 0.0000 eV/atom
energy relative to the elements, uncorrected = 8.44 eV/f.u.

---

(5)
A plane-wave DFT calculation with GGA-PBE was carried out for an optimized crystal structure of Al3Tc4.

a = 4.9209 Å, b = 4.9209 Å, c = 4.7933 Å
α = 90.00°, β = 90.00°, γ = 120.00°
Space group P6/mmm (No. 191)
Asymmetric unit:
Al  0.0000  0.5000  0.0000 x3
Tc  0.0000  0.0000  0.2580 x2
Tc  0.3333  0.6667  0.5000 x2

## Properties
offset from the most stable computed form = 0.2870 eV/atom
energy of formation = -113.8 meV per atom

---

(6)
A plane-wave DFT calculation with GGA-PBE was carried out for an optimized crystal structure of SrMg2TiBe.

a = 4.907 Å, b = 4.907 Å, c = 4.907 Å
α = 90.00°, β = 90.00°, γ = 90.00°
Space group P4/mmm (No. 123)
Asymmetric unit:
Sr  0.000  0.000  0.000 x1
Mg  0.000  0.500  0.500 x2
Ti  0.500  0.500  0.000 x1
Be  0.500  0.500  0.500 x1

## Properties
energy of formation = 396.3 meV per atom

---

(7)
A plane-wave DFT calculation with GGA-PBE was carried out for an optimized crystal structure of LaNi6P2.

a = 3.845 Å, b = 3.845 Å, c = 8.463 Å
α = 90.00°, β = 90.00°, γ = 90.00°
Space group P4/mmm (No. 123)
Asymmetric unit:
La  0.000  0.000  0.000 x1
Ni  0.000  0.000  0.500 x1
Ni  0.000  0.500  0.313 x4
Ni  0.500  0.500  0.500 x1
P  0.500  0.500  0.189 x2

## Properties
energy of formation = -521.6 meV per atom

---

(8)
A plane-wave DFT calculation with GGA-PBE was carried out for an optimized crystal structure of TlCrBr2.

a = 4.322 Å, b = 4.322 Å, c = 13.097 Å
α = 90.00°, β = 90.00°, γ = 90.00°
Space group I-4m2 (No. 119)
Asymmetric unit:
Tl  0.000  0.000  0.000 x2
Cr  0.000  0.500  0.250 x2
Br  0.000  0.000  0.500 x2
Br  0.000  0.500  0.750 x2

## Properties
offset from the most stable computed form = 0.2695 eV/atom
energy relative to the elements, uncorrected = -0.45 eV/f.u.

---

(9)
A plane-wave DFT calculation with GGA-PBE was carried out for an optimized crystal structure of TcHIN2.

a = 4.076 Å, b = 4.076 Å, c = 3.341 Å
α = 90.00°, β = 90.00°, γ = 90.00°
Space group P4/mmm (No. 123)
Asymmetric unit:
Tc  0.000  0.000  0.000 x1
H  0.500  0.500  0.500 x1
I  0.500  0.500  0.000 x1
N  0.000  0.500  0.500 x2

## Properties
offset from the most stable computed form = 1.3776 eV/atom

---

(10)
A plane-wave DFT calculation with GGA-PBE was carried out for an optimized crystal structure of Ca2Zr.

a = 3.467 Å, b = 3.467 Å, c = 32.917 Å
α = 90.00°, β = 90.00°, γ = 90.00°
Space group I4_1/amd (No. 141, origin choice 2)
Asymmetric unit:
Ca  0.000  0.250  0.302 x8
Zr  0.000  0.250  0.875 x4

## Properties
offset from the most stable computed form = 0.1117 eV/atom
energy of formation = 353.0 meV per atom

---

(11)
A plane-wave DFT calculation with GGA-PBE was carried out for an optimized crystal structure of AgPbAu2.

a = 7.962 Å, b = 7.962 Å, c = 5.659 Å
α = 90.00°, β = 90.00°, γ = 90.00°
Space group I-42d (No. 122)
Asymmetric unit:
Ag  0.000  0.000  0.000 x4
Pb  0.000  0.000  0.500 x4
Au  0.238  0.250  0.125 x8

## Properties
energy of formation = 99.1 meV per atom

---

(12)
A plane-wave DFT calculation with GGA-PBE was carried out for an optimized crystal structure of CoIrCl2.

a = 6.380 Å, b = 6.380 Å, c = 6.380 Å
α = 90.00°, β = 90.00°, γ = 90.00°
Space group F-43m (No. 216)
Asymmetric unit:
Co  0.000  0.000  0.000 x4
Ir  0.250  0.250  0.250 x4
Cl  0.000  0.000  0.500 x4
Cl  0.250  0.250  0.750 x4

## Properties
offset from the most stable computed form = 0.9843 eV/atom
energy relative to the elements, uncorrected = 4.29 eV/f.u.

---

(13)
A plane-wave DFT calculation with GGA-PBE was carried out for an optimized crystal structure of Ca2TaIr.

a = 3.442 Å, b = 3.422 Å, c = 9.050 Å
α = 90.00°, β = 90.09°, γ = 90.00°
Space group Pm (No. 6)
Asymmetric unit:
Ca  0.000  0.000  0.000 x1
Ca  0.499  0.500  0.377 x1
Ta  0.000  0.000  0.647 x1
Ir  0.500  0.500  0.754 x1

## Properties
offset from the most stable computed form = 0.0000 eV/atom
energy of formation = -91.3 meV per atom

---

(14)
A plane-wave DFT calculation with GGA-PBE was carried out for an optimized crystal structure of Ga9Sn2Pb3.

a = 4.331 Å, b = 10.727 Å, c = 14.079 Å
α = 90.00°, β = 90.00°, γ = 90.00°
Space group Immm (No. 71)
Asymmetric unit:
Ga  0.000  0.000  0.000 x2
Ga  0.000  0.120  0.346 x8
Ga  0.000  0.225  0.164 x8
Sn  0.000  0.304  0.500 x4
Pb  0.000  0.500  0.000 x2
Pb  0.000  0.500  0.303 x4

## Properties
energy of formation = 50.6 meV per atom

---

(15)
A plane-wave DFT calculation with GGA-PBE was carried out for an optimized crystal structure of TiAgSb.

a = 13.938 Å, b = 3.906 Å, c = 4.708 Å
α = 90.00°, β = 90.00°, γ = 90.00°
Space group Amm2 (No. 38)
Asymmetric unit:
Ti  0.000  0.000  0.000 x2
Ti  0.500  0.000  0.008 x2
Ag  0.355  0.000  0.508 x4
Sb  0.148  0.000  0.498 x4

## Properties
energy relative to the elements, uncorrected = -0.05 eV/f.u.

---

(16)
A plane-wave DFT calculation with GGA-PBE was carried out for an optimized crystal structure of SrAl3Tc.

a = 6.267 Å, b = 4.506 Å, c = 7.582 Å
α = 90.00°, β = 111.42°, γ = 90.00°
Space group P2_1/m (No. 11)
Asymmetric unit:
Sr  0.118  0.250  0.183 x2
Al  0.073  0.250  0.597 x2
Al  0.461  0.250  0.913 x2
Al  0.485  0.750  0.410 x2
Tc  0.333  0.750  0.688 x2

## Properties
offset from the most stable computed form = 0.0722 eV/atom
energy of formation = -250.1 meV per atom

---

(17)
A plane-wave DFT calculation with GGA-PBE was carried out for an optimized crystal structure of SmPuZnCo.

a = 6.984 Å, b = 6.984 Å, c = 6.984 Å
α = 90.00°, β = 90.00°, γ = 90.00°
Space group F-43m (No. 216)
Asymmetric unit:
Sm  0.000  0.000  0.000 x4
Pu  0.000  0.000  0.500 x4
Zn  0.250  0.250  0.250 x4
Co  0.250  0.250  0.750 x4

## Properties
energy of formation = -17.4 meV per atom

---

(18)
A plane-wave DFT calculation with GGA-PBE was carried out for an optimized crystal structure of TbPrAlZn.

a = 3.642 Å, b = 3.642 Å, c = 7.471 Å
α = 90.00°, β = 90.00°, γ = 90.00°
Space group P4mm (No. 99)
Asymmetric unit:
Tb  0.000  0.000  0.000 x1
Pr  0.000  0.000  0.492 x1
Al  0.500  0.500  0.758 x1
Zn  0.500  0.500  0.223 x1

## Properties
offset from the most stable computed form = 0.0000 eV/atom
energy of formation = -346.9 meV per atom

---

(19)
A plane-wave DFT calculation with GGA-PBE was carried out for an optimized crystal structure of CsSnB.

a = 8.211 Å, b = 4.057 Å, c = 11.603 Å
α = 90.00°, β = 90.00°, γ = 90.00°
Space group Pnma (No. 62)
Asymmetric unit:
Cs  0.007  0.250  0.201 x4
Sn  0.154  0.750  0.470 x4
B  0.145  0.250  0.563 x4

## Properties
energy of formation = 534.0 meV per atom

---

(20)
A plane-wave DFT calculation with GGA-PBE was carried out for an optimized crystal structure of Pm3GaSb2.

a = 4.399 Å, b = 6.258 Å, c = 13.419 Å
α = 90.00°, β = 90.00°, γ = 90.00°
Space group Immm (No. 71)
Asymmetric unit:
Pm  0.000  0.000  0.000 x2
Pm  0.000  0.000  0.333 x4
Ga  0.000  0.500  0.000 x2
Sb  0.000  0.500  0.332 x4

## Properties
energy relative to the elements, uncorrected = -5.16 eV/f.u.